[1]
A plane-wave DFT calculation with GGA-PBE was carried out for a relaxed HoScC crystal.

a b c (Å): 5.951 3.442 3.442
angles (deg): 120.00 90.00 90.00
Positions (direct):
Sc (0.124, 0.000, 0.000)
C (0.319, 0.333, 0.667)
Ho (0.556, 0.667, 0.333)

Energy above the most stable polymorph in this dataset: 33 meV/atom
M_tot: 0.000 μB/cell
Energy of formation from the pure elements: -327 meV/atom

[2]
A plane-wave DFT calculation with GGA-PBE was carried out for a relaxed Ho2Sc2Si2C crystal.

a b c (Å): 4.376 4.376 8.074
angles (deg): 105.72 105.72 90.00
Positions (direct):
Ho (0.166, 0.166, 0.332)
Ho (0.834, 0.834, 0.668)
Sc (0.000, 0.500, 0.000)
Sc (0.500, 0.000, 0.000)
Si (0.367, 0.367, 0.735)
Si (0.633, 0.633, 0.265)
C (0.000, 0.000, 0.000)

Raw formation energy: -755 meV/atom
M_tot: 0.000 μB/cell

[3]
A plane-wave DFT calculation with GGA-PBE was carried out for a relaxed Ho2Sc2Sn2C crystal.

a b c (Å): 4.531 4.531 8.473
angles (deg): 105.51 105.51 90.00
Positions (direct):
Ho (0.158, 0.158, 0.316)
Ho (0.842, 0.842, 0.684)
Sc (0.000, 0.500, 0.000)
Sc (0.500, 0.000, 0.000)
Sn (0.363, 0.363, 0.727)
Sn (0.637, 0.637, 0.273)
C (0.000, 0.000, 0.000)

M_tot: 0.000 μB/cell
Energy of formation from the pure elements: -809 meV/atom

[4]
A plane-wave DFT calculation with GGA-PBE was carried out for a relaxed HoScTeC crystal.

a b c (Å): 3.658 3.659 7.244
angles (deg): 90.00 104.62 120.00
Positions (direct):
Ho (0.517, 0.156, 0.688)
Sc (0.090, 0.943, 0.049)
Te (0.959, 0.378, 0.352)
C (0.311, 0.554, 0.880)

Raw formation energy: -812 meV/atom
M_tot: 0.000 μB/cell

[5]
A plane-wave DFT calculation with GGA-PBE was carried out for a relaxed HoSc2TlC crystal.

a b c (Å): 4.849 4.595 4.595
angles (deg): 90.00 90.00 90.00
Positions (direct):
Ho (0.500, 0.000, 0.000)
Sc (0.000, 0.000, 0.500)
Sc (0.000, 0.500, 0.000)
Tl (0.500, 0.500, 0.500)
C (0.000, 0.000, 0.000)

M_tot: 0.000 μB/cell
Energy of formation from the pure elements: -555 meV/atom

[6]
A plane-wave DFT calculation with GGA-PBE was carried out for a relaxed Ho2ScTlC crystal.

a b c (Å): 4.586 4.892 4.892
angles (deg): 90.00 90.00 90.00
Positions (direct):
Ho (0.000, 0.000, 0.500)
Ho (0.000, 0.500, 0.000)
Sc (0.500, 0.000, 0.000)
Tl (0.500, 0.500, 0.500)
C (0.000, 0.000, 0.000)

M_tot: 0.000 μB/cell
Energy of formation from the pure elements: -513 meV/atom

Question: Number 3 is which compound?
Answer: Ho2Sc2Sn2C

Question: Which formula does entry 4 have?
Answer: HoScTeC